The following is a DFT calculation (PBE) of a geometry-optimized TaTcAu2 structure.

Summary:
Final energy = -28.29 eV per formula unit
Energy of formation = 0.5 eV/f.u.
E above lowest polymorph = 157.3 meV per atom
Symmetry = Cm (8)

Cell and atoms, written as POSCAR:
```
TaTcAu2
1.0
-1.8691 -4.5824 0.2728
0.0091 -4.6306 -1.7673
3.4928 -1.9541 3.2618
Au Ta Tc
2 1 1
direct
0.9966 0.9966 0.9995 Au
0.7511 0.7511 0.7516 Au
0.4995 0.4995 0.4925 Ta
0.2529 0.2529 0.2564 Tc
```

The following is a DFT calculation (PBE) of a geometry-optimized CsRbN2 structure.

Summary:
Final energy = -11.86 eV per formula unit
Formation energy without anion corrections = 1653 meV/atom
E above lowest polymorph = 1730.2 meV per atom
Symmetry = R-3m (166)

Cell and atoms, written as POSCAR:
```
CsRbN2
1.0
5.2636 -5.9166 1.7164
6.4935 -4.2511 -2.3282
7.6896 -2.0820 1.4809
Cs Rb N
1 1 2
direct
0.0000 0.0000 0.0000 Cs
0.5000 0.5000 0.5000 Rb
0.9064 0.9064 0.9064 N
0.0936 0.0936 0.0936 N
```

The following is a DFT calculation (PBE) of a geometry-optimized Rb3Hg2Bi4 structure.

Summary:
Final energy = -21.20 eV per formula unit
Energy of formation = -2.2 eV/f.u.
E above lowest polymorph = 0.0 meV per atom
Symmetry = C2/m (12)

Cell and atoms, written as POSCAR:
```
Rb3Hg2Bi4
1.0
5.1606 0.0000 1.3766
1.8006 6.6127 3.6110
-0.4645 1.9341 12.1023
Rb Hg Bi
3 2 4
direct
0.3424 0.6515 0.6637 Rb
0.0000 0.0000 0.0000 Rb
0.6576 0.3485 0.3363 Rb
0.4061 0.9274 0.2604 Hg
0.5939 0.0726 0.7396 Hg
0.2497 0.4234 0.0772 Bi
0.7503 0.5766 0.9228 Bi
0.0746 0.2476 0.6033 Bi
0.9254 0.7524 0.3967 Bi
```